1.
# Y8Sb4AsSe3

A geometry-optimized Y8Sb4AsSe3 structure (GGA-PBE, Alexandria via LeMat-Bulk).

Lattice parameters (Å, degrees): 8.493 8.498 8.493 119.98 120.00 90.00
Fractional positions:
Y  0.243  0.737  0.994
Y  0.243  0.737  0.486
Y  0.253  0.259  0.506
Y  0.751  0.737  0.994
Y  0.249  0.263  0.006
Y  0.747  0.741  0.494
Y  0.757  0.263  0.514
Y  0.757  0.263  0.006
Sb  0.500  0.000  0.000
Sb  0.500  0.000  0.500
Sb  0.000  0.000  0.000
Sb  0.000  0.000  0.500
As  0.000  0.500  0.000
Se  0.500  0.500  0.000
Se  0.500  0.500  0.500
Se  0.000  0.500  0.500

Summary:
Magnetization   0.00 μB per formula unit
Crystal system   trigonal
N(E_F)   5.482 states/eV per cell
Raw total energy   -6.66 eV per atom
SG   R-3m, No. 166

***

2.
# Mo2S3

A geometry-optimized Mo2S3 structure (GGA-PBE, Alexandria via LeMat-Bulk).

Lattice parameters (Å, degrees): 3.201 6.173 8.695 77.24 90.00 90.00
Fractional positions:
Mo  0.250  0.688  0.009
Mo  0.750  0.312  0.991
Mo  0.250  0.891  0.628
Mo  0.750  0.109  0.372
S  0.250  0.493  0.803
S  0.750  0.507  0.197
S  0.250  0.028  0.156
S  0.750  0.972  0.844
S  0.250  0.272  0.514
S  0.750  0.728  0.486

Summary:
Magnetization   0.00 μB per formula unit
Crystal system   monoclinic
N(E_F)   4.868 states/eV per cell
Raw total energy   -7.50 eV per atom
SG   P2_1/m, No. 11